[1]
{
  "formula": "KRb2PuBr8",
  "functional": "GGA-PBE",
  "state": "relaxed",
  "e_form_raw_ev_per_atom": -1.376,
  "space_group": "No. 2",
  "total_magnetization_mub_per_atom": 0.3464,
  "dos_ef_per_ev_cell": 13.29,
  "dft_energy_ev_per_cell": -47.26,
  "lattice": [[6.673, 0.000, 0.000], [1.829, 7.372, 0.000], [0.035, 0.033, 10.468]],
  "species": ["K", "Rb", "Rb", "Pu", "Br", "Br", "Br", "Br", "Br", "Br", "Br", "Br"],
  "fractional_positions": [[0.000, 0.000, 0.000], [0.494, 0.498, 0.252], [0.506, 0.502, 0.748], [0.000, 0.000, 0.500], [0.074, 0.225, 0.308], [0.076, 0.223, 0.692], [0.399, 0.801, 0.498], [0.489, 0.781, 0.001], [0.511, 0.219, 0.999], [0.601, 0.199, 0.502], [0.924, 0.777, 0.308], [0.926, 0.775, 0.692]]
}


[2]
{
  "formula": "Dy2ThUC4",
  "functional": "GGA-PBE",
  "state": "relaxed",
  "space_group": "No. 10",
  "total_magnetization_mub_per_atom": 0.0000,
  "dos_ef_per_ev_cell": 3.74,
  "dft_energy_ev_per_cell": -66.66,
  "formation_enthalpy_0k_kj_per_mol_fu": -179,
  "lattice": [[6.217, 0.000, 0.000], [0.000, 3.661, 0.000], [-2.126, 0.000, 5.951]],
  "species": ["Dy", "Dy", "Th", "U", "C", "C", "C", "C"],
  "fractional_positions": [[0.000, 0.000, 0.000], [0.000, 0.500, 0.500], [0.500, 0.000, 0.500], [0.500, 0.500, 0.000], [0.272, 0.500, 0.227], [0.273, 0.000, 0.774], [0.727, 0.000, 0.226], [0.728, 0.500, 0.773]]
}